Entry 1:
The following is a DFT calculation (GGA-PBE) of a relaxed structure of LiGaNiPb.

CIF file:
```
data_LiGaNiPb
_chemical_formula_sum 'Li1 Ga1 Ni1 Pb1'
_space_group_name_H-M_alt 'P 1'
_space_group_IT_number 1
_cell_length_a 4.670
_cell_length_b 4.670
_cell_length_c 4.670
_cell_angle_alpha 60.00
_cell_angle_beta 60.00
_cell_angle_gamma 60.00
loop_
_space_group_symop_operation_xyz
'x,y,z'
loop_
_atom_site_label
_atom_site_type_symbol
_atom_site_fract_x
_atom_site_fract_y
_atom_site_fract_z
Pb1 Pb 0.250 0.250 0.250
Ni1 Ni 0.500 0.500 0.500
Li1 Li 0.750 0.750 0.750
Ga1 Ga 0.000 0.000 0.000
```

## Properties
Total moment, μB per formula unit: 0.0
Relative energy among the computed polymorphs, meV per atom: 207.6


Entry 2:
The following is a DFT calculation (GGA-PBE) of a relaxed structure of Ba2Pd2W3.

CIF file:
```
data_Ba2Pd2W3
_chemical_formula_sum 'Ba2 Pd2 W3'
_space_group_name_H-M_alt 'P 1'
_space_group_IT_number 1
_cell_length_a 10.559
_cell_length_b 10.559
_cell_length_c 10.559
_cell_angle_alpha 24.31
_cell_angle_beta 24.31
_cell_angle_gamma 24.31
loop_
_space_group_symop_operation_xyz
'x,y,z'
loop_
_atom_site_label
_atom_site_type_symbol
_atom_site_fract_x
_atom_site_fract_y
_atom_site_fract_z
Pd1 Pd 0.550 0.550 0.550
Pd2 Pd 0.023 0.023 0.023
W1 W 0.633 0.633 0.633
Ba1 Ba 0.745 0.745 0.745
Ba2 Ba 0.172 0.172 0.172
W2 W 0.317 0.317 0.317
W3 W 0.935 0.935 0.935
```

## Properties
Total moment, μB per formula unit: 0.0


Entry 3:
The following is a DFT calculation (GGA-PBE) of a relaxed structure of TlCuW4N2.

CIF file:
```
data_TlCuW4N2
_chemical_formula_sum 'Tl1 Cu1 W4 N2'
_space_group_name_H-M_alt 'P 1'
_space_group_IT_number 1
_cell_length_a 2.878
_cell_length_b 2.878
_cell_length_c 15.127
_cell_angle_alpha 90.00
_cell_angle_beta 90.00
_cell_angle_gamma 120.00
loop_
_space_group_symop_operation_xyz
'x,y,z'
loop_
_atom_site_label
_atom_site_type_symbol
_atom_site_fract_x
_atom_site_fract_y
_atom_site_fract_z
N1 N 0.333 0.667 0.761
W1 W 0.667 0.333 0.856
Cu1 Cu 0.000 0.000 0.000
W2 W 0.000 0.000 0.668
W3 W 0.667 0.333 0.144
Tl1 Tl 0.667 0.333 0.500
N2 N 0.333 0.667 0.239
W4 W 0.000 0.000 0.332
```

## Properties
Total moment, μB per formula unit: 0.0


Entry 4:
The following is a DFT calculation (GGA-PBE) of a relaxed structure of LuMgCoPb.

CIF file:
```
data_LuMgCoPb
_chemical_formula_sum 'Lu1 Mg1 Co1 Pb1'
_space_group_name_H-M_alt 'P 1'
_space_group_IT_number 1
_cell_length_a 4.819
_cell_length_b 4.819
_cell_length_c 4.819
_cell_angle_alpha 60.00
_cell_angle_beta 60.00
_cell_angle_gamma 60.00
loop_
_space_group_symop_operation_xyz
'x,y,z'
loop_
_atom_site_label
_atom_site_type_symbol
_atom_site_fract_x
_atom_site_fract_y
_atom_site_fract_z
Lu1 Lu 0.250 0.250 0.250
Pb1 Pb 0.000 0.000 0.000
Mg1 Mg 0.500 0.500 0.500
Co1 Co 0.750 0.750 0.750
```

## Properties
Total moment, μB per formula unit: 0.1
Relative energy among the computed polymorphs, meV per atom: 93.4


Entry 5:
The following is a DFT calculation (GGA-PBE) of a relaxed structure of TmHfAsO.

CIF file:
```
data_TmHfAsO
_chemical_formula_sum 'Tm2 Hf2 As2 O2'
_space_group_name_H-M_alt 'P 1'
_space_group_IT_number 1
_cell_length_a 4.021
_cell_length_b 4.021
_cell_length_c 8.386
_cell_angle_alpha 90.00
_cell_angle_beta 90.00
_cell_angle_gamma 90.00
loop_
_space_group_symop_operation_xyz
'x,y,z'
loop_
_atom_site_label
_atom_site_type_symbol
_atom_site_fract_x
_atom_site_fract_y
_atom_site_fract_z
As1 As 0.250 0.250 0.736
O1 O 0.750 0.250 0.000
O2 O 0.250 0.750 0.000
Tm1 Tm 0.250 0.750 0.500
Hf1 Hf 0.750 0.750 0.881
Tm2 Tm 0.750 0.250 0.500
As2 As 0.750 0.750 0.264
Hf2 Hf 0.250 0.250 0.119
```

## Properties
Total moment, μB per formula unit: 0.2
Relative energy among the computed polymorphs, meV per atom: 454.0


Entry 6:
The following is a DFT calculation (GGA-PBE) of a relaxed structure of MgScSbOs.

CIF file:
```
data_MgScSbOs
_chemical_formula_sum 'Mg1 Sc1 Sb1 Os1'
_space_group_name_H-M_alt 'P 1'
_space_group_IT_number 1
_cell_length_a 4.708
_cell_length_b 4.708
_cell_length_c 4.708
_cell_angle_alpha 60.00
_cell_angle_beta 60.00
_cell_angle_gamma 60.00
loop_
_space_group_symop_operation_xyz
'x,y,z'
loop_
_atom_site_label
_atom_site_type_symbol
_atom_site_fract_x
_atom_site_fract_y
_atom_site_fract_z
Mg1 Mg 0.750 0.750 0.750
Sb1 Sb 0.500 0.500 0.500
Sc1 Sc 0.250 0.250 0.250
Os1 Os 0.000 0.000 0.000
```

## Properties
Total moment, μB per formula unit: 0.0
Relative energy among the computed polymorphs, meV per atom: 109.5


Entry 7:
The following is a DFT calculation (GGA-PBE) of a relaxed structure of GdPPdO.

CIF file:
```
data_GdPPdO
_chemical_formula_sum 'Gd2 P2 Pd2 O2'
_space_group_name_H-M_alt 'P 1'
_space_group_IT_number 1
_cell_length_a 4.636
_cell_length_b 4.228
_cell_length_c 6.642
_cell_angle_alpha 90.00
_cell_angle_beta 90.00
_cell_angle_gamma 90.00
loop_
_space_group_symop_operation_xyz
'x,y,z'
loop_
_atom_site_label
_atom_site_type_symbol
_atom_site_fract_x
_atom_site_fract_y
_atom_site_fract_z
Pd1 Pd 0.000 0.823 0.443
P1 P 0.000 0.680 0.787
Gd1 Gd 0.500 0.301 0.590
Gd2 Gd 0.500 0.699 0.090
P2 P 0.000 0.320 0.287
O1 O 0.500 0.192 0.934
Pd2 Pd 0.000 0.177 0.943
O2 O 0.500 0.808 0.434
```

## Properties
Total moment, μB per formula unit: 0.0
Relative energy among the computed polymorphs, meV per atom: 363.0


Entry 8:
The following is a DFT calculation (GGA-PBE) of a relaxed structure of ErGaNiPt.

CIF file:
```
data_ErGaNiPt
_chemical_formula_sum 'Er2 Ga2 Ni2 Pt2'
_space_group_name_H-M_alt 'P 1'
_space_group_IT_number 1
_cell_length_a 4.264
_cell_length_b 4.264
_cell_length_c 8.870
_cell_angle_alpha 90.00
_cell_angle_beta 90.00
_cell_angle_gamma 120.00
loop_
_space_group_symop_operation_xyz
'x,y,z'
loop_
_atom_site_label
_atom_site_type_symbol
_atom_site_fract_x
_atom_site_fract_y
_atom_site_fract_z
Er1 Er 0.333 0.667 0.760
Pt1 Pt 0.667 0.333 0.596
Ni1 Ni 0.333 0.667 0.069
Ga1 Ga 0.000 0.000 0.500
Ga2 Ga 0.000 0.000 0.000
Er2 Er 0.667 0.333 0.240
Pt2 Pt 0.333 0.667 0.404
Ni2 Ni 0.667 0.333 0.931
```

## Properties
Total moment, μB per formula unit: 0.0
Relative energy among the computed polymorphs, meV per atom: 13.5


Entry 9:
The following is a DFT calculation (GGA-PBE) of a relaxed structure of HfZrBe.

CIF file:
```
data_HfZrBe
_chemical_formula_sum 'Hf1 Zr1 Be1'
_space_group_name_H-M_alt 'P 1'
_space_group_IT_number 1
_cell_length_a 4.337
_cell_length_b 4.337
_cell_length_c 4.337
_cell_angle_alpha 60.00
_cell_angle_beta 60.00
_cell_angle_gamma 60.00
loop_
_space_group_symop_operation_xyz
'x,y,z'
loop_
_atom_site_label
_atom_site_type_symbol
_atom_site_fract_x
_atom_site_fract_y
_atom_site_fract_z
Be1 Be 0.000 0.000 0.000
Hf1 Hf 0.250 0.250 0.250
Zr1 Zr 0.750 0.750 0.750
```

## Properties
Total moment, μB per formula unit: 0.0
Relative energy among the computed polymorphs, meV per atom: 0.0


Entry 10:
The following is a DFT calculation (GGA-PBE) of a relaxed structure of Ta2BAu.

CIF file:
```
data_Ta2BAu
_chemical_formula_sum 'Ta4 B2 Au2'
_space_group_name_H-M_alt 'P 1'
_space_group_IT_number 1
_cell_length_a 3.206
_cell_length_b 3.206
_cell_length_c 13.968
_cell_angle_alpha 90.00
_cell_angle_beta 90.00
_cell_angle_gamma 120.00
loop_
_space_group_symop_operation_xyz
'x,y,z'
loop_
_atom_site_label
_atom_site_type_symbol
_atom_site_fract_x
_atom_site_fract_y
_atom_site_fract_z
Ta1 Ta 0.333 0.667 0.410
B1 B 0.000 0.000 0.000
Ta2 Ta 0.667 0.333 0.590
Ta3 Ta 0.333 0.667 0.090
Ta4 Ta 0.667 0.333 0.910
Au1 Au 0.667 0.333 0.250
Au2 Au 0.333 0.667 0.750
B2 B 0.000 0.000 0.500
```

## Properties
Total moment, μB per formula unit: 0.0


Entry 11:
The following is a DFT calculation (GGA-PBE) of a relaxed structure of PtPbSO.

CIF file:
```
data_PtPbSO
_chemical_formula_sum 'Pt4 Pb4 S4 O4'
_space_group_name_H-M_alt 'P 1'
_space_group_IT_number 1
_cell_length_a 8.167
_cell_length_b 5.833
_cell_length_c 7.026
_cell_angle_alpha 90.00
_cell_angle_beta 90.00
_cell_angle_gamma 90.00
loop_
_space_group_symop_operation_xyz
'x,y,z'
loop_
_atom_site_label
_atom_site_type_symbol
_atom_site_fract_x
_atom_site_fract_y
_atom_site_fract_z
S1 S 0.639 0.144 0.739
O1 O 0.493 0.627 0.357
S2 S 0.861 0.856 0.239
Pb1 Pb 0.824 0.669 0.840
O2 O 0.007 0.373 0.857
Pb2 Pb 0.176 0.169 0.660
S3 S 0.139 0.356 0.261
S4 S 0.361 0.644 0.761
Pt1 Pt 0.038 0.654 0.427
Pt2 Pt 0.538 0.846 0.573
O3 O 0.993 0.873 0.643
Pb3 Pb 0.676 0.331 0.340
Pt3 Pt 0.962 0.154 0.073
Pb4 Pb 0.324 0.831 0.160
Pt4 Pt 0.462 0.346 0.927
O4 O 0.507 0.127 0.143
```

## Properties
Total moment, μB per formula unit: 0.0
Relative energy among the computed polymorphs, meV per atom: 137.8


Entry 12:
The following is a DFT calculation (GGA-PBE) of a relaxed structure of BeCdFeSb.

CIF file:
```
data_BeCdFeSb
_chemical_formula_sum 'Be1 Cd1 Fe1 Sb1'
_space_group_name_H-M_alt 'P 1'
_space_group_IT_number 1
_cell_length_a 4.569
_cell_length_b 4.569
_cell_length_c 4.569
_cell_angle_alpha 60.00
_cell_angle_beta 60.00
_cell_angle_gamma 60.00
loop_
_space_group_symop_operation_xyz
'x,y,z'
loop_
_atom_site_label
_atom_site_type_symbol
_atom_site_fract_x
_atom_site_fract_y
_atom_site_fract_z
Fe1 Fe 0.750 0.750 0.750
Be1 Be 0.250 0.250 0.250
Sb1 Sb 0.000 0.000 0.000
Cd1 Cd 0.500 0.500 0.500
```

## Properties
Total moment, μB per formula unit: 2.3
Relative energy among the computed polymorphs, meV per atom: 0.0


Entry 13:
The following is a DFT calculation (GGA-PBE) of a relaxed structure of LiCoPd2.

CIF file:
```
data_LiCoPd2
_chemical_formula_sum 'Li1 Co1 Pd2'
_space_group_name_H-M_alt 'P 1'
_space_group_IT_number 1
_cell_length_a 4.271
_cell_length_b 4.271
_cell_length_c 4.271
_cell_angle_alpha 60.00
_cell_angle_beta 60.00
_cell_angle_gamma 60.00
loop_
_space_group_symop_operation_xyz
'x,y,z'
loop_
_atom_site_label
_atom_site_type_symbol
_atom_site_fract_x
_atom_site_fract_y
_atom_site_fract_z
Li1 Li 0.500 0.500 0.500
Pd1 Pd 0.000 0.000 0.000
Co1 Co 0.250 0.250 0.250
Pd2 Pd 0.750 0.750 0.750
```

## Properties
Total moment, μB per formula unit: 0.0


no.,VASP energy (Ha/atom)
1,-0.127
2,-0.263
3,-0.328
4,-0.151
5,-0.274
6,-0.216
7,-0.241
8,-0.207
9,-0.264
10,-0.323
11,-0.188
12,-0.135
13,-0.173